[1]
Material: ZnRe2Si
Method: DFT, PBE-GGA
State: optimized geometry

DOS(E_F) = 3.09 states/eV/cell
Total magnetic moment = 0.00 μB per formula unit
ΔE_f (raw) = 0.138 eV/atom
Total DFT energy (no corrections) = -31.04 eV per cell

abc: 2.9839 2.9829 6.3181
angles: 90.00 90.00 90.00
Last column: nearest neighbours and their distance in Å.
Atoms (fractional coordinates):
Re: 0.0000 0.0000 0.4684  4 Si 2.52, 4 Zn 2.76, 1 Re 2.76
Re: 0.0000 0.0000 0.0316  4 Si 2.52, 4 Zn 2.76, 1 Re 2.76
Si: 0.5000 0.5000 0.2500  8 Re 2.52
Zn: 0.5000 0.5000 0.7500  8 Re 2.76, 4 Zn 2.98

[2]
Material: ZnRe2Si
Method: DFT, PBE-GGA
State: optimized geometry

DOS(E_F) = 3.23 states/eV/cell
Total magnetic moment = 0.00 μB per formula unit
ΔE_f (raw) = 0.344 eV/atom
Total DFT energy (no corrections) = -30.22 eV per cell

abc: 2.7422 2.7422 8.8992
angles: 90.00 90.00 115.47
Last column: nearest neighbours and their distance in Å.
Atoms (fractional coordinates):
Si: 0.0000 0.0000 0.4871  2 Re 2.55, 4 Si 2.74, 2 Zn 2.78
Re: 0.0000 0.0000 0.0074  8 Re 2.63-2.93, 2 Zn 2.70
Re: 0.5000 0.5000 0.2529  2 Si 2.55, 6 Re 2.63-2.74
Zn: 0.5000 0.5000 0.7527  2 Re 2.70, 6 Zn 2.74-2.93, 2 Si 2.78

[3]
Material: ZnRe2Si
Method: DFT, PBE-GGA
State: optimized geometry

DOS(E_F) = 2.34 states/eV/cell
Total magnetic moment = 0.00 μB per formula unit
ΔE_f (raw) = 0.126 eV/atom
Total DFT energy (no corrections) = -31.09 eV per cell

abc: 4.7726 4.7726 4.3826
angles: 73.64 73.64 35.93
Last column: nearest neighbours and their distance in Å.
Atoms (fractional coordinates):
Re: 0.9970 0.9970 0.9622  3 Zn 2.58-2.65, 4 Si 2.61-2.67, 2 Re 2.73
Re: 0.2471 0.2471 0.2894  3 Si 2.57-2.67, 4 Zn 2.62-2.66, 2 Re 2.73
Si: 0.5045 0.5045 0.4662  7 Re 2.57-2.67, 2 Zn 2.74
Zn: 0.7513 0.7513 0.7822  7 Re 2.58-2.66, 2 Si 2.74